The following is a PBE-GGA calculation of crystalline Ce2ReGe at its relaxed geometry, from Alexandria.

The relative energy among the computed polymorphs is 479 meV/atom. As for the formation energy: 0.265 eV/atom. The density is 10.7 g cm⁻³.

Cell: 3.0341 3.0341 31.3787 Å, 90.00 90.00 120.00°
Space group R-3m (No. 166, hexagonal axes)
Inequivalent atoms, fractional coordinates:
Ce  0.0000  0.0000  0.0827 x6
Re  0.0000  0.0000  0.0000 x3
Ge  0.0000  0.0000  0.5000 x3



The following is a PBE-GGA calculation of crystalline Zr2Si2Au at its relaxed geometry, from Alexandria.

The value obtained for the uncorrected formation energy is -0.7804 eV per atom. The relative energy among the computed polymorphs is 0 meV/atom. The density is 8.2 g cm⁻³.

Cell: 3.9369 5.5197 8.1444 Å, 90.00 90.00 90.00°
Space group Immm (No. 71)
Inequivalent atoms, fractional coordinates:
Zr  0.0000  0.0000  0.2023 x4
Si  0.0000  0.2878  0.5000 x4
Au  0.0000  0.5000  0.0000 x2



The following is a PBE-GGA calculation of crystalline K3Zr2NiTe6 at its relaxed geometry, from Alexandria.

The value obtained for the uncorrected formation energy is -0.7729 eV per atom. The density is 4.9 g cm⁻³.

Cell: 7.3424 12.6968 8.5131 Å, 90.00 106.80 90.00°
Space group C2/m (No. 12)
Inequivalent atoms, fractional coordinates:
K  0.0000  0.0000  0.0000 x2
K  0.0000  0.3275  0.0000 x4
Zr  0.0000  0.1651  0.5000 x4
Ni  0.0000  0.5000  0.5000 x2
Te  0.2216  0.3410  0.6899 x8
Te  0.2458  0.0000  0.6941 x4



The following is a PBE-GGA calculation of crystalline TmPaCo2 at its relaxed geometry, from Alexandria.

The relative energy among the computed polymorphs is 236 meV/atom. As for the formation energy: -0.164 eV/atom. The density is 11.9 g cm⁻³.

Cell: 6.6168 6.6168 6.6168 Å, 90.00 90.00 90.00°
Space group Fm-3m (No. 225)
Inequivalent atoms, fractional coordinates:
Tm  0.0000  0.0000  0.0000 x4
Pa  0.0000  0.0000  0.5000 x4
Co  0.2500  0.2500  0.2500 x8



The following is a PBE-GGA calculation of crystalline Tb2Al2InPt5 at its relaxed geometry, from Alexandria.

As for the formation energy: -0.956 eV/atom. The density is 13.2 g cm⁻³.

Cell: 9.9168 9.9168 3.7418 Å, 90.00 90.00 90.00°
Space group P4/mbm (No. 127)
Inequivalent atoms, fractional coordinates:
Tb  0.1781  0.3219  0.0000 x4
Al  0.1197  0.6197  0.0000 x4
In  0.0000  0.0000  0.0000 x2
Pt  0.0000  0.5000  0.5000 x2
Pt  0.0667  0.7867  0.5000 x8



The following is a PBE-GGA calculation of crystalline Ca2LaMn at its relaxed geometry, from Alexandria.

The relative energy among the computed polymorphs is 252 meV/atom. As for the formation energy: 0.445 eV/atom. The density is 3.5 g cm⁻³.

Cell: 7.0119 10.1419 3.6721 Å, 90.00 90.00 90.00°
Space group Cmmm (No. 65)
Inequivalent atoms, fractional coordinates:
Ca  0.2500  0.2500  0.0000 x4
La  0.0000  0.0000  0.5000 x2
Mn  0.0000  0.5000  0.5000 x2



The following is a PBE-GGA calculation of crystalline MgZrScRh at its relaxed geometry, from Alexandria.

As for the formation energy: -0.372 eV/atom. The density is 5.7 g cm⁻³.

Cell: 6.7474 6.7474 6.7474 Å, 90.00 90.00 90.00°
Space group F-43m (No. 216)
Inequivalent atoms, fractional coordinates:
Mg  0.0000  0.0000  0.0000 x4
Zr  0.2500  0.2500  0.7500 x4
Sc  0.2500  0.2500  0.2500 x4
Rh  0.0000  0.0000  0.5000 x4



The following is a PBE-GGA calculation of crystalline CsKCa2Tl at its relaxed geometry, from Alexandria.

The relative energy among the computed polymorphs is 692 meV/atom. As for the formation energy: 0.707 eV/atom. The density is 2.2 g cm⁻³.

Cell: 6.9129 6.9129 7.0833 Å, 90.00 90.00 90.00°
Space group P4/mmm (No. 123)
Inequivalent atoms, fractional coordinates:
Cs  0.0000  0.0000  0.0000 x1
K  0.0000  0.0000  0.5000 x1
Ca  0.0000  0.5000  0.5000 x2
Tl  0.5000  0.5000  0.0000 x1



The following is a PBE-GGA calculation of crystalline Th6SiSe2S3 at its relaxed geometry, from Alexandria.

The value obtained for the uncorrected formation energy is -1.5768 eV per atom. The density is 9.2 g cm⁻³.

Cell: 7.1931 12.4222 7.1445 Å, 90.00 109.51 90.00°
Space group C2/m (No. 12)
Inequivalent atoms, fractional coordinates:
Th  0.2380  0.0000  0.2372 x4
Th  0.2503  0.1630  0.7624 x8
Si  0.0000  0.0000  0.5000 x2
Se  0.0000  0.3334  0.5000 x4
S  0.0000  0.1674  0.0000 x4
S  0.0000  0.5000  0.0000 x2



The following is a PBE-GGA calculation of crystalline Ti5Al2Sn at its relaxed geometry, from Alexandria.

The relative energy among the computed polymorphs is 0 meV/atom. As for the formation energy: -0.346 eV/atom. The density is 5.0 g cm⁻³.

Cell: 4.0617 4.0617 16.5743 Å, 90.00 90.00 90.00°
Space group I4/mmm (No. 139)
Inequivalent atoms, fractional coordinates:
Ti  0.0000  0.0000  0.0000 x2
Ti  0.0000  0.5000  0.1311 x8
Al  0.0000  0.0000  0.2489 x4
Sn  0.0000  0.0000  0.5000 x2



The following is a PBE-GGA calculation of crystalline Tm2PaNiN4 at its relaxed geometry, from Alexandria.

The value obtained for the uncorrected formation energy is -1.3177 eV per atom. The density is 10.9 g cm⁻³.

Cell: 3.3288 11.0213 11.3557 Å, 90.00 90.00 90.00°
Space group Cmcm (No. 63)
Inequivalent atoms, fractional coordinates:
Tm  0.0000  0.1294  0.0550 x8
Pa  0.0000  0.3871  0.2500 x4
Ni  0.0000  0.3501  0.7500 x4
N  0.0000  0.0406  0.2500 x4
N  0.0000  0.2191  0.6298 x8
N  0.0000  0.5000  0.0000 x4



The following is a PBE-GGA calculation of crystalline Ga6Ru5 at its relaxed geometry, from Alexandria.

As for the formation energy: -0.280 eV/atom. The density is 9.4 g cm⁻³.

Cell: 4.2396 6.0511 12.7105 Å, 90.00 90.00 90.00°
Space group Immm (No. 71)
Inequivalent atoms, fractional coordinates:
Ga  0.0000  0.2447  0.0000 x4
Ga  0.0000  0.2536  0.3359 x8
Ru  0.0000  0.0000  0.1638 x4
Ru  0.0000  0.0000  0.5000 x2
Ru  0.0000  0.5000  0.1647 x4



The following is a PBE-GGA calculation of crystalline CaTbNi2As2 at its relaxed geometry, from Alexandria.

As for the formation energy: -0.954 eV/atom. The density is 6.8 g cm⁻³.

Cell: 4.0504 4.0504 8.0697 Å, 90.00 90.00 120.00°
Space group P-3m1 (No. 164)
Inequivalent atoms, fractional coordinates:
Ca  0.0000  0.0000  0.0000 x1
Tb  0.0000  0.0000  0.5000 x1
Ni  0.3333  0.6667  0.7370 x2
As  0.3333  0.6667  0.2559 x2



The following is a PBE-GGA calculation of crystalline CeEr3Tl4 at its relaxed geometry, from Alexandria.

As for the formation energy: -0.285 eV/atom. The density is 11.0 g cm⁻³.

Cell: 10.7649 7.6146 5.3793 Å, 90.00 90.00 90.00°
Space group Pmma (No. 51)
Inequivalent atoms, fractional coordinates:
Ce  0.0000  0.0000  0.0000 x2
Er  0.0000  0.5000  0.0000 x2
Er  0.2500  0.0000  0.4979 x2
Er  0.2500  0.5000  0.4974 x2
Tl  0.0000  0.2582  0.5000 x4
Tl  0.2500  0.2582  0.9972 x4



The following is a PBE-GGA calculation of crystalline MnAgCl2 at its relaxed geometry, from Alexandria.

The value obtained for the uncorrected formation energy is -0.2854 eV per atom. The relative energy among the computed polymorphs is 192 meV/atom. The density is 4.3 g cm⁻³.

Cell: 3.9672 5.5539 8.1027 Å, 90.00 90.00 90.00°
Space group Cmm2 (No. 35)
Inequivalent atoms, fractional coordinates:
Mn  0.0000  0.0000  0.0000 x2
Ag  0.0000  0.5000  0.7695 x2
Cl  0.0000  0.0000  0.5783 x2
Cl  0.0000  0.5000  0.1738 x2



The following is a PBE-GGA calculation of crystalline CrCdCl6 at its relaxed geometry, from Alexandria.

The value obtained for the uncorrected formation energy is -0.8780 eV per atom. The relative energy among the computed polymorphs is 5 meV/atom. The density is 2.8 g cm⁻³.

Cell: 6.2846 11.9258 6.3099 Å, 90.00 109.96 90.00°
Space group C2/m (No. 12)
Inequivalent atoms, fractional coordinates:
Cr  0.0000  0.0000  0.0000 x2
Cd  0.0000  0.5000  0.5000 x2
Cl  0.2207  0.1399  0.2343 x8
Cl  0.2334  0.0000  0.7973 x4



The following is a PBE-GGA calculation of crystalline Tm13Sc3 at its relaxed geometry, from Alexandria.

As for the formation energy: 0.008 eV/atom. The density is 8.3 g cm⁻³.

Cell: 7.0369 10.9217 12.1598 Å, 90.00 90.00 90.00°
Space group Amm2 (No. 38)
Inequivalent atoms, fractional coordinates:
Tm  0.0000  0.0000  0.9996 x2
Tm  0.0000  0.0000  0.4964 x2
Tm  0.0000  0.2444  0.1667 x4
Tm  0.2506  0.0000  0.7464 x4
Tm  0.2518  0.2464  0.4149 x8
Tm  0.5000  0.0000  0.0000 x2
Tm  0.5000  0.2476  0.1649 x4
Sc  0.2522  0.0000  0.2503 x4
Sc  0.5000  0.0000  0.4949 x2



The following is a PBE-GGA calculation of crystalline Pr3IrAu at its relaxed geometry, from Alexandria.

The relative energy among the computed polymorphs is 47 meV/atom. As for the formation energy: -0.578 eV/atom. The density is 9.4 g cm⁻³.

Cell: 5.8694 6.9470 8.1774 Å, 71.24 82.02 65.21°
Space group P-1 (No. 2)
Inequivalent atoms, fractional coordinates:
Pr  0.0415  0.1487  0.1456 x2
Pr  0.3268  0.2116  0.6747 x2
Pr  0.3781  0.4653  0.2302 x2
Ir  0.4295  0.8346  0.9773 x2
Au  0.1531  0.7488  0.5028 x2



Number 1: final energy -6.968 eV per atom, DOS(E_F) 13.70 states/eV per cell. Number 2: final energy -7.024 eV per atom, DOS(E_F) 3.75 states/eV per cell. Number 3: final energy -4.525 eV per atom, DOS(E_F) 11.42 states/eV per cell. Number 4: final energy -7.209 eV per atom, DOS(E_F) 23.81 states/eV per cell. Number 5: final energy -5.925 eV per atom, DOS(E_F) 7.70 states/eV per cell. Number 6: final energy -4.080 eV per atom, DOS(E_F) 11.34 states/eV per cell. Number 7: final energy -6.329 eV per atom, DOS(E_F) 9.34 states/eV per cell. Number 8: final energy -0.957 eV per atom, DOS(E_F) 9.47 states/eV per cell. Number 9: final energy -7.351 eV per atom, DOS(E_F) 16.96 states/eV per cell. Number 10: final energy -6.717 eV per atom, DOS(E_F) 19.06 states/eV per cell. Number 11: final energy -8.508 eV per atom, DOS(E_F) 14.80 states/eV per cell. Number 12: final energy -6.147 eV per atom, DOS(E_F) 21.36 states/eV per cell. Number 13: final energy -5.536 eV per atom, DOS(E_F) 3.92 states/eV per cell. Number 14: final energy -3.921 eV per atom, DOS(E_F) 24.19 states/eV per cell. Number 15: final energy -4.214 eV per atom, DOS(E_F) 1.57 states/eV per cell. Number 16: final energy -3.580 eV per atom, DOS(E_F) 9.93 states/eV per cell. Number 17: final energy -4.812 eV per atom, DOS(E_F) 57.06 states/eV per cell. Number 18: final energy -5.873 eV per atom, DOS(E_F) 8.17 states/eV per cell.